GGA+U CdCoIrO4, relaxed; VASP energy = -0.4248 Ry per atom; crystal system = orthorhombic; space-group type = Imma (74)
1.0
5.965 0.000 0.000
-2.982 5.377 -0.463
0.000 -3.314 5.450
O Co Cd Ir
8 2 2 2
direct
0.255 0.945 0.722
0.745 0.055 0.278
0.264 0.527 0.312
0.310 0.055 0.278
0.690 0.945 0.722
0.736 0.473 0.285
0.264 0.527 0.715
0.736 0.473 0.688
0.500 0.500 0.500
0.000 0.500 0.500
0.135 0.271 0.885
0.865 0.729 0.115
0.500 0.000 0.000
0.500 0.000 0.500